DFT (PBE) results for crystalline Nd2In5Pt3 at its relaxed geometry.

CIF file:
```
data_Nd2In5Pt3
_chemical_formula_sum 'Nd4 In10 Pt6'
_space_group_name_H-M_alt 'P 1'
_space_group_IT_number 1
_cell_length_a 4.541
_cell_length_b 7.409
_cell_length_c 13.667
_cell_angle_alpha 90.00
_cell_angle_beta 99.56
_cell_angle_gamma 90.00
loop_
_space_group_symop_operation_xyz
'x,y,z'
loop_
_atom_site_label
_atom_site_type_symbol
_atom_site_fract_x
_atom_site_fract_y
_atom_site_fract_z
In1 In 0.293 0.907 0.586
In2 In 0.401 0.404 0.802
In3 In 0.947 0.109 0.895
In4 In 0.053 0.609 0.105
In5 In 0.876 0.752 0.751
In6 In 0.124 0.252 0.249
In7 In 0.292 0.498 0.584
In8 In 0.599 0.904 0.198
In9 In 0.707 0.407 0.414
In10 In 0.708 0.998 0.416
Pt1 Pt 0.609 0.520 0.218
Pt2 Pt 0.228 0.201 0.456
Pt3 Pt 0.391 0.020 0.782
Pt4 Pt 0.954 0.493 0.909
Pt5 Pt 0.772 0.701 0.544
Pt6 Pt 0.046 0.993 0.091
Nd1 Nd 0.825 0.205 0.650
Nd2 Nd 0.478 0.777 0.956
Nd3 Nd 0.175 0.705 0.350
Nd4 Nd 0.522 0.277 0.044
```

Results
SG: Cmc2_1 (36)
ΔE_f: -0.7416 eV per atom



DFT (PBE) results for crystalline NaU6S8 at its relaxed geometry.

CIF file:
```
data_NaU6S8
_chemical_formula_sum 'Na1 U6 S8'
_space_group_name_H-M_alt 'P 1'
_space_group_IT_number 1
_cell_length_a 7.576
_cell_length_b 7.576
_cell_length_c 7.576
_cell_angle_alpha 94.92
_cell_angle_beta 94.92
_cell_angle_gamma 94.92
loop_
_space_group_symop_operation_xyz
'x,y,z'
loop_
_atom_site_label
_atom_site_type_symbol
_atom_site_fract_x
_atom_site_fract_y
_atom_site_fract_z
S1 S 0.633 0.848 0.291
S2 S 0.230 0.230 0.230
S3 S 0.770 0.770 0.770
S4 S 0.848 0.291 0.633
S5 S 0.291 0.633 0.848
S6 S 0.152 0.709 0.367
S7 S 0.709 0.367 0.152
S8 S 0.367 0.152 0.709
U1 U 0.817 0.600 0.448
U2 U 0.448 0.817 0.600
U3 U 0.400 0.552 0.183
U4 U 0.552 0.183 0.400
U5 U 0.183 0.400 0.552
U6 U 0.600 0.448 0.817
Na1 Na 0.000 0.000 0.000
```

Results
SG: R-3 (148)
formation energy without anion corrections: -23.596 kcal/mol of atoms



DFT (PBE) results for crystalline SrCa3Rh at its relaxed geometry.

CIF file:
```
data_SrCa3Rh
_chemical_formula_sum 'Sr2 Ca6 Rh2'
_space_group_name_H-M_alt 'P 1'
_space_group_IT_number 1
_cell_length_a 7.453
_cell_length_b 7.163
_cell_length_c 10.164
_cell_angle_alpha 90.00
_cell_angle_beta 139.09
_cell_angle_gamma 90.00
loop_
_space_group_symop_operation_xyz
'x,y,z'
loop_
_atom_site_label
_atom_site_type_symbol
_atom_site_fract_x
_atom_site_fract_y
_atom_site_fract_z
Rh1 Rh 0.241 0.250 0.188
Rh2 Rh 0.759 0.750 0.812
Ca1 Ca 0.832 0.500 0.072
Ca2 Ca 0.832 0.000 0.072
Ca3 Ca 0.789 0.250 0.409
Ca4 Ca 0.168 0.000 0.928
Ca5 Ca 0.168 0.500 0.928
Ca6 Ca 0.211 0.750 0.591
Sr1 Sr 0.514 0.750 0.404
Sr2 Sr 0.486 0.250 0.596
```

Results
SG: P2_1/m (11)
ΔE_f: -0.2142 eV per atom
energy above the lowest structure with this stoichiometry: 0.013 eV per atom



N(E_F) across the listed records, respectively: 0.53, 1.12, 0.61 states/eV per atom.